Record 1
# GaHg2SeF, relaxed, DFT PBE
data_GaHg2SeF
_cell_length_a 5.5540
_cell_length_b 5.5540
_cell_length_c 4.3156
_cell_angle_alpha 90.00
_cell_angle_beta 90.00
_cell_angle_gamma 90.00
_symmetry_space_group_name_H-M 'P 4/m m m'
_symmetry_Int_Tables_number 123
_symmetry_space_group_name_Hall '-P 4 2'
loop_
_atom_site_label
_atom_site_type_symbol
_atom_site_fract_x
_atom_site_fract_y
_atom_site_fract_z
_atom_site_occupancy
Ga1 Ga 0.0000 0.0000 0.0000 1
Hg1 Hg 0.0000 0.5000 0.5000 1
Se1 Se 0.5000 0.5000 0.5000 1
F1 F 0.5000 0.5000 0.0000 1
# Density of states at the Fermi level, states/eV per cell: 3.125


Record 2
# BeRhF2, relaxed, DFT PBE
data_BeRhF2
_cell_length_a 2.6015
_cell_length_b 2.6015
_cell_length_c 27.5181
_cell_angle_alpha 90.00
_cell_angle_beta 90.00
_cell_angle_gamma 120.00
_symmetry_space_group_name_H-M 'R -3 m'
_symmetry_Int_Tables_number 166
_symmetry_space_group_name_Hall '-R 3 2"'
loop_
_atom_site_label
_atom_site_type_symbol
_atom_site_fract_x
_atom_site_fract_y
_atom_site_fract_z
_atom_site_occupancy
Be1 Be 0.0000 0.0000 0.0000 1
Rh1 Rh 0.0000 0.0000 0.5000 1
F1 F 0.0000 0.0000 0.3663 1
# Density of states at the Fermi level, states/eV per cell: 5.733
# Distance to the lowest polymorph of the same formula, eV per formula unit: 0.00


Raw formation energy, record by record: -0.5 -7.2 eV/f.u.